A plane-wave DFT calculation with GGA-PBE was carried out for a relaxed LaTlS2N crystal.

a = 5.177 Å, b = 5.177 Å, c = 4.249 Å
α = 90.00°, β = 90.00°, γ = 90.00°
Space group P4/mmm (No. 123)
Asymmetric unit:
La1 0.000 0.000 0.000 [1 per cell]
Tl1 0.500 0.500 0.500 [1 per cell]
S1 0.000 0.500 0.500 [2 per cell]
N1 0.500 0.500 0.000 [1 per cell]

## Properties
Distance to the lowest polymorph of the same formula   41 meV/atom
E_form (uncorrected)   0.006 eV per atom

A plane-wave DFT calculation with GGA-PBE was carried out for a relaxed LaNi3As3 crystal.

a = 6.442 Å, b = 6.442 Å, c = 6.442 Å
α = 90.00°, β = 90.00°, γ = 90.00°
Space group Pm-3n (No. 223)
Asymmetric unit:
La1 0.000 0.000 0.000 [2 per cell]
Ni1 0.000 0.250 0.500 [6 per cell]
As1 0.000 0.500 0.250 [6 per cell]

## Properties
Total DFT energy (no corrections)   -5.695 eV/atom

A plane-wave DFT calculation with GGA-PBE was carried out for a relaxed BeMoN2 crystal.

a = 2.9845 Å, b = 2.9845 Å, c = 16.6024 Å
α = 90.00°, β = 90.00°, γ = 120.00°
Space group R-3m (No. 166, hexagonal axes)
Asymmetric unit:
Be1 0.0000 0.0000 0.0000 [3 per cell]
Mo1 0.0000 0.0000 0.5000 [3 per cell]
N1 0.0000 0.0000 0.0920 [6 per cell]

## Properties
E_form (uncorrected)   -0.274 eV per atom

A plane-wave DFT calculation with GGA-PBE was carried out for a relaxed CeTmZnTc crystal.

a = 6.968 Å, b = 6.968 Å, c = 6.968 Å
α = 90.00°, β = 90.00°, γ = 90.00°
Space group F-43m (No. 216)
Asymmetric unit:
Ce1 0.000 0.000 0.000 [4 per cell]
Tm1 0.000 0.000 0.500 [4 per cell]
Zn1 0.250 0.250 0.750 [4 per cell]
Tc1 0.250 0.250 0.250 [4 per cell]

## Properties
Total DFT energy (no corrections)   -5.662 eV/atom

A plane-wave DFT calculation with GGA-PBE was carried out for a relaxed KRbAsSe2 crystal.

a = 6.733 Å, b = 13.848 Å, c = 6.611 Å
α = 90.00°, β = 90.00°, γ = 90.00°
Space group Cmme (No. 67)
Asymmetric unit:
K1 0.250 0.000 0.000 [4 per cell]
Rb1 0.000 0.250 0.251 [4 per cell]
As1 0.000 0.000 0.500 [4 per cell]
Se1 0.000 0.155 0.731 [8 per cell]

## Properties
Distance to the lowest polymorph of the same formula   0 meV/atom
E_form (uncorrected)   -0.532 eV per atom

A plane-wave DFT calculation with GGA-PBE was carried out for a relaxed ReAgSn2 crystal.

a = 6.777 Å, b = 6.777 Å, c = 6.777 Å
α = 90.00°, β = 90.00°, γ = 90.00°
Space group Fm-3m (No. 225)
Asymmetric unit:
Re1 0.000 0.000 0.000 [4 per cell]
Ag1 0.000 0.000 0.500 [4 per cell]
Sn1 0.250 0.250 0.250 [8 per cell]

## Properties
Distance to the lowest polymorph of the same formula   0 meV/atom

Number 1: calculated density 6145 kg/m3, DOS at the Fermi energy 4.055 states/eV/cell. Number 2: calculated density 6704 kg/m3, DOS at the Fermi energy 9.994 states/eV/cell. Number 3: calculated density 5172 kg/m3, DOS at the Fermi energy 4.609 states/eV/cell. Number 4: calculated density 9274 kg/m3, DOS at the Fermi energy 20.440 states/eV/cell. Number 5: calculated density 3851 kg/m3, DOS at the Fermi energy 3.329 states/eV/cell. Number 6: calculated density 11342 kg/m3, DOS at the Fermi energy 12.904 states/eV/cell.